1.
A relaxed Y4Te2C crystal, computed with PBE. Values from VASP.

Structure (Quantum ESPRESSO input):
```
&SYSTEM
  ibrav = 0, nat = 7, ntyp = 3
/
ATOMIC_SPECIES
Y 88.91 Y.upf
Te 127.60 Te.upf
C 12.01 C.upf
CELL_PARAMETERS angstrom
-2.367 2.367 7.965
2.367 -2.367 7.965
2.367 2.367 -7.965
ATOMIC_POSITIONS crystal
Y 0.000 0.500 0.500
Y 0.160 0.160 0.000
Y 0.500 0.000 0.500
Y 0.840 0.840 0.000
Te 0.357 0.357 0.000
Te 0.643 0.643 0.000
C 0.000 0.000 0.000
```

Computed properties:
DFT total energy ... -46.73 eV per cell
Space-group type ... I4/mmm
Formation energy (no corrections) ... -0.767 eV per atom

***

2.
A relaxed SiTeN2O crystal, computed with PBE. Values from VASP.

Structure (Quantum ESPRESSO input):
```
&SYSTEM
  ibrav = 0, nat = 5, ntyp = 4
/
ATOMIC_SPECIES
Si 28.09 Si.upf
Te 127.60 Te.upf
N 14.01 N.upf
O 16.00 O.upf
CELL_PARAMETERS angstrom
4.012 0.000 0.000
0.000 4.012 0.000
0.000 0.000 3.925
ATOMIC_POSITIONS crystal
Si 0.000 0.000 0.000
Te 0.500 0.500 0.500
N 0.000 0.500 0.500
N 0.500 0.000 0.500
O 0.500 0.500 0.000
```

Computed properties:
DFT total energy ... -25.20 eV per cell
Space-group type ... P4/mmm
Formation energy (no corrections) ... 0.995 eV per atom

***

3.
A relaxed Er6Zn2Ni crystal, computed with PBE. Values from VASP.

Structure (Quantum ESPRESSO input):
```
&SYSTEM
  ibrav = 0, nat = 18, ntyp = 3
/
ATOMIC_SPECIES
Er 167.26 Er.upf
Zn 65.41 Zn.upf
Ni 58.69 Ni.upf
CELL_PARAMETERS angstrom
-4.711 4.729 4.946
4.711 -4.729 4.946
4.711 4.729 -4.946
ATOMIC_POSITIONS crystal
Er 0.076 0.249 0.827
Er 0.222 0.548 0.326
Er 0.222 0.895 0.674
Er 0.312 0.236 0.548
Er 0.312 0.764 0.076
Er 0.422 0.249 0.173
Er 0.578 0.751 0.827
Er 0.688 0.236 0.924
Er 0.688 0.764 0.452
Er 0.778 0.105 0.326
Er 0.778 0.452 0.674
Er 0.924 0.751 0.173
Zn 0.000 0.129 0.129
Zn 0.000 0.871 0.871
Zn 0.138 0.500 0.638
Zn 0.862 0.500 0.362
Ni 0.500 0.000 0.500
Ni 0.500 0.500 0.000
```

Computed properties:
DFT total energy ... -74.90 eV per cell
Space-group type ... Immm
Formation enthalpy at 0 K ... -0.1935 eV/atom

***

4.
A relaxed KAl crystal, computed with PBE. Values from VASP.

Structure (Quantum ESPRESSO input):
```
&SYSTEM
  ibrav = 0, nat = 2, ntyp = 2
/
ATOMIC_SPECIES
K 39.10 K.upf
Al 26.98 Al.upf
CELL_PARAMETERS angstrom
3.271 0.000 0.000
0.000 3.271 0.000
0.000 0.000 5.788
ATOMIC_POSITIONS crystal
K 0.000 0.000 0.000
Al 0.500 0.500 0.500
```

Computed properties:
DFT total energy ... -3.86 eV per cell
Space-group type ... P4/mmm
Formation enthalpy at 0 K ... 0.4892 eV/atom

***

5.
A relaxed LiI crystal, computed with PBE. Values from VASP.

Structure (Quantum ESPRESSO input):
```
&SYSTEM
  ibrav = 0, nat = 12, ntyp = 2
/
ATOMIC_SPECIES
Li 6.94 Li.upf
I 126.90 I.upf
CELL_PARAMETERS angstrom
4.518 0.000 0.000
0.000 14.102 0.000
0.000 0.000 6.615
ATOMIC_POSITIONS crystal
Li 0.250 0.097 0.047
Li 0.250 0.403 0.047
Li 0.250 0.750 0.447
Li 0.750 0.250 0.553
Li 0.750 0.597 0.953
Li 0.750 0.903 0.953
I 0.250 0.250 0.309
I 0.250 0.589 0.200
I 0.250 0.911 0.200
I 0.750 0.089 0.800
I 0.750 0.411 0.800
I 0.750 0.750 0.691
```

Computed properties:
DFT total energy ... -35.15 eV per cell
Space-group type ... Pmmn
Formation energy (no corrections) ... -1.197 eV per atom

***

6.
A relaxed Li6MgPd crystal, computed with PBE. Values from VASP.

Structure (Quantum ESPRESSO input):
```
&SYSTEM
  ibrav = 0, nat = 8, ntyp = 3
/
ATOMIC_SPECIES
Li 6.94 Li.upf
Mg 24.30 Mg.upf
Pd 106.42 Pd.upf
CELL_PARAMETERS angstrom
5.223 -2.805 0.000
5.223 2.805 0.000
-1.956 0.000 4.703
ATOMIC_POSITIONS crystal
Li 0.000 0.000 0.000
Li 0.000 0.465 0.959
Li 0.267 0.234 0.500
Li 0.530 0.470 0.000
Li 0.535 0.000 0.041
Li 0.766 0.733 0.500
Mg 0.264 0.736 0.500
Pd 0.765 0.235 0.500
```

Computed properties:
DFT total energy ... -19.57 eV per cell
Space-group type ... C2
Formation enthalpy at 0 K ... -0.1630 eV/atom

***

7.
A relaxed LiUBe2O6 crystal, computed with PBE. Values from VASP.

Structure (Quantum ESPRESSO input):
```
&SYSTEM
  ibrav = 0, nat = 20, ntyp = 4
/
ATOMIC_SPECIES
Li 6.94 Li.upf
U 238.03 U.upf
Be 9.01 Be.upf
O 16.00 O.upf
CELL_PARAMETERS angstrom
4.663 -4.531 0.000
4.663 4.531 0.000
-1.016 0.000 4.852
ATOMIC_POSITIONS crystal
Li 0.074 0.926 0.750
Li 0.926 0.074 0.250
U 0.283 0.717 0.250
U 0.717 0.283 0.750
Be 0.216 0.379 0.692
Be 0.379 0.216 0.192
Be 0.621 0.784 0.808
Be 0.784 0.621 0.308
O 0.015 0.228 0.637
O 0.155 0.605 0.873
O 0.228 0.015 0.137
O 0.291 0.412 0.397
O 0.395 0.845 0.627
O 0.412 0.291 0.897
O 0.588 0.709 0.103
O 0.605 0.155 0.373
O 0.709 0.588 0.603
O 0.772 0.985 0.863
O 0.845 0.395 0.127
O 0.985 0.772 0.363
```

Computed properties:
DFT total energy ... -151.12 eV per cell
Space-group type ... C2/c
Formation energy (no corrections) ... -2.516 eV per atom

***

8.
A relaxed AgPtNCl2 crystal, computed with PBE. Values from VASP.

Structure (Quantum ESPRESSO input):
```
&SYSTEM
  ibrav = 0, nat = 5, ntyp = 4
/
ATOMIC_SPECIES
Ag 107.87 Ag.upf
Pt 195.08 Pt.upf
N 14.01 N.upf
Cl 35.45 Cl.upf
CELL_PARAMETERS angstrom
4.688 0.000 0.000
0.000 4.688 0.000
0.000 0.000 5.446
ATOMIC_POSITIONS crystal
Ag 0.000 0.000 0.000
Pt 0.000 0.000 0.500
N 0.500 0.500 0.500
Cl 0.000 0.500 0.000
Cl 0.500 0.000 0.000
```

Computed properties:
DFT total energy ... -11.24 eV per cell
Space-group type ... P4/mmm
Formation energy (no corrections) ... 1.935 eV per atom

***

9.
A relaxed CaFe2P crystal, computed with PBE. Values from VASP.

Structure (Quantum ESPRESSO input):
```
&SYSTEM
  ibrav = 0, nat = 4, ntyp = 3
/
ATOMIC_SPECIES
Ca 40.08 Ca.upf
Fe 55.84 Fe.upf
P 30.97 P.upf
CELL_PARAMETERS angstrom
3.249 0.000 0.000
0.000 3.762 0.000
-1.580 0.000 5.636
ATOMIC_POSITIONS crystal
Ca 0.000 0.000 0.000
Fe 0.262 0.000 0.506
Fe 0.730 0.500 0.444
P 0.369 0.500 0.730
```

Computed properties:
DFT total energy ... -25.07 eV per cell
Space-group type ... Pm
Formation enthalpy at 0 K ... -0.1828 eV/atom

***

10.
A relaxed VFeSi crystal, computed with PBE. Values from VASP.

Structure (Quantum ESPRESSO input):
```
&SYSTEM
  ibrav = 0, nat = 6, ntyp = 3
/
ATOMIC_SPECIES
V 50.94 V.upf
Fe 55.84 Fe.upf
Si 28.09 Si.upf
CELL_PARAMETERS angstrom
1.942 1.121 5.757
-1.942 1.121 5.757
0.000 -2.243 5.757
ATOMIC_POSITIONS crystal
V 0.000 0.000 0.000
V 0.161 0.161 0.161
Fe 0.295 0.295 0.295
Fe 0.443 0.443 0.443
Si 0.579 0.579 0.579
Si 0.744 0.744 0.744
```

Computed properties:
DFT total energy ... -48.61 eV per cell
Space-group type ... R3m
Formation energy (no corrections) ... -0.434 eV per atom

***

11.
A relaxed YAs2Ru crystal, computed with PBE. Values from VASP.

Structure (Quantum ESPRESSO input):
```
&SYSTEM
  ibrav = 0, nat = 4, ntyp = 3
/
ATOMIC_SPECIES
Y 88.91 Y.upf
As 74.92 As.upf
Ru 101.07 Ru.upf
CELL_PARAMETERS angstrom
4.670 -1.705 0.000
4.670 1.705 0.000
-1.452 0.000 4.838
ATOMIC_POSITIONS crystal
Y 0.000 0.000 0.000
As 0.521 0.521 0.512
As 0.760 0.760 0.251
Ru 0.239 0.239 0.608
```

Computed properties:
DFT total energy ... -26.93 eV per cell
Space-group type ... Cm
Formation enthalpy at 0 K ... -0.4735 eV/atom

***

12.
A relaxed Ho3Tm2Ru4 crystal, computed with PBE. Values from VASP.

Structure (Quantum ESPRESSO input):
```
&SYSTEM
  ibrav = 0, nat = 9, ntyp = 3
/
ATOMIC_SPECIES
Ho 164.93 Ho.upf
Tm 168.93 Tm.upf
Ru 101.07 Ru.upf
CELL_PARAMETERS angstrom
4.825 0.000 0.000
-2.413 4.179 0.000
0.000 0.000 9.143
ATOMIC_POSITIONS crystal
Ho 0.000 0.000 0.000
Ho 0.333 0.667 0.591
Ho 0.667 0.333 0.409
Tm 0.333 0.667 0.204
Tm 0.667 0.333 0.796
Ru 0.000 0.000 0.356
Ru 0.000 0.000 0.644
Ru 0.333 0.667 0.894
Ru 0.667 0.333 0.106
```

Computed properties:
DFT total energy ... -63.24 eV per cell
Space-group type ... P-3m1
Formation enthalpy at 0 K ... -0.3848 eV/atom

***

Total magnetic moment across the listed records, respectively: 0.000, 0.000, 0.000, 0.000, 0.000, 0.000, 0.852, 0.000, 4.305, 0.000, 0.000, 0.000 μB/f.u..